# 1
A relaxed Si4NiMo crystal, computed with GGA-PBE.

The density is 5.7 Mg/m³. The total magnetization is 0.00 μB/cell. The formation energy without anion corrections comes out at 1.81 eV/f.u.

The space group is F-43m (No. 216) and the conventional cell measures 6.785, 6.785 and 6.785 Å, with angles of 90.00, 90.00 and 90.00 degrees. The distinct sites, in fractional coordinates, are Si at (0.125, 0.125, 0.125), Ni at (0.000, 0.000, 0.500) and Mo at (0.250, 0.250, 0.750).

# 2
A relaxed SiNiMo2 crystal, computed with GGA-PBE.

The density is 8.4 Mg/m³. The total magnetization is 0.00 μB/cell. The formation energy without anion corrections comes out at -0.83 eV/f.u.

The space group is Pm (No. 6) and the conventional cell measures 2.777, 4.060 and 5.001 Å, with angles of 90.00, 101.78 and 90.00 degrees. The distinct sites, in fractional coordinates, are Si at (0.000, 0.000, 0.000), Ni at (0.927, 0.500, 0.764), Mo at (0.334, 0.000, 0.529) and Mo at (0.583, 0.500, 0.234).

# 3
A relaxed SiNiMo crystal, computed with GGA-PBE.

The density is 7.6 Mg/m³. The total magnetization is 0.00 μB/cell. Its relative energy among the computed polymorphs is 0.381 eV/atom. The formation energy without anion corrections comes out at -0.25 eV/f.u.

The space group is P3m1 (No. 156) and the conventional cell measures 2.7326, 2.7326 and 6.1562 Å, with angles of 90.00, 90.00 and 120.00 degrees. The distinct sites, in fractional coordinates, are Si at (0.0000, 0.0000, 0.0000), Ni at (0.3333, 0.6667, 0.7080) and Mo at (0.6667, 0.3333, 0.3533).

# 4
A relaxed SiNiMo4 crystal, computed with GGA-PBE.

The density is 8.1 Mg/m³. The total magnetization is 0.00 μB/cell. The formation energy without anion corrections comes out at 3.62 eV/f.u.

The space group is F-43m (No. 216) and the conventional cell measures 7.280, 7.280 and 7.280 Å, with angles of 90.00, 90.00 and 90.00 degrees. The distinct sites, in fractional coordinates, are Si at (0.000, 0.000, 0.000), Ni at (0.250, 0.250, 0.250) and Mo at (0.124, 0.124, 0.624).

# 5
A relaxed SiNiMo3 crystal, computed with GGA-PBE.

The density is 7.0 Mg/m³. The total magnetization is 0.00 μB/cell. Its relative energy among the computed polymorphs is 0.000 eV/atom. The formation energy without anion corrections comes out at 6.19 eV/f.u.

The space group is Pm-3m (No. 221) and the conventional cell measures 4.452, 4.452 and 4.452 Å, with angles of 90.00, 90.00 and 90.00 degrees. The distinct sites, in fractional coordinates, are Si at (0.000, 0.000, 0.000), Ni at (0.500, 0.500, 0.500) and Mo at (0.000, 0.000, 0.500).

# 6
A relaxed Si2NiMo crystal, computed with GGA-PBE.

The density is 6.8 Mg/m³. The total magnetization is 0.00 μB/cell. The formation energy without anion corrections comes out at -0.68 eV/f.u.

The space group is Fm-3m (No. 225) and the conventional cell measures 5.902, 5.902 and 5.902 Å, with angles of 90.00, 90.00 and 90.00 degrees. The distinct sites, in fractional coordinates, are Si at (0.250, 0.250, 0.250), Ni at (0.000, 0.000, 0.000) and Mo at (0.000, 0.000, 0.500).